Entry 1:
Below is a relaxed MgNb crystal, with properties calculated at the PBE level.

```
data_MgNb
_cell_length_a 2.9299
_cell_length_b 2.9299
_cell_length_c 10.3690
_cell_angle_alpha 90.00
_cell_angle_beta 90.00
_cell_angle_gamma 120.00
_symmetry_space_group_name_H-M 'P 63/m m c'
_symmetry_Int_Tables_number 194
_symmetry_space_group_name_Hall '-P 6c 2c'
loop_
_atom_site_label
_atom_site_fract_x
_atom_site_fract_y
_atom_site_fract_z
Mg1 0.0000 0.0000 0.0000
Nb1 0.3333 0.6667 0.2500
```

E, eV per atom: -5.527

---

Entry 2:
Below is a relaxed MgNbNi crystal, with properties calculated at the PBE level.

```
data_MgNbNi
_cell_length_a 6.035
_cell_length_b 6.035
_cell_length_c 6.035
_cell_angle_alpha 90.00
_cell_angle_beta 90.00
_cell_angle_gamma 90.00
_symmetry_space_group_name_H-M 'F -4 3 m'
_symmetry_Int_Tables_number 216
_symmetry_space_group_name_Hall 'F -4 2 3'
loop_
_atom_site_label
_atom_site_fract_x
_atom_site_fract_y
_atom_site_fract_z
Mg1 0.000 0.000 0.000
Nb1 0.250 0.250 0.250
Ni1 0.000 0.000 0.500
```

E, eV per atom: -4.900

---

Entry 3:
Below is a relaxed MgNbNiPb crystal, with properties calculated at the PBE level.

```
data_MgNbNiPb
_cell_length_a 6.622
_cell_length_b 6.622
_cell_length_c 6.622
_cell_angle_alpha 90.00
_cell_angle_beta 90.00
_cell_angle_gamma 90.00
_symmetry_space_group_name_H-M 'F -4 3 m'
_symmetry_Int_Tables_number 216
_symmetry_space_group_name_Hall 'F -4 2 3'
loop_
_atom_site_label
_atom_site_fract_x
_atom_site_fract_y
_atom_site_fract_z
Mg1 0.000 0.000 0.000
Nb1 0.250 0.250 0.750
Ni1 0.000 0.000 0.500
Pb1 0.250 0.250 0.250
```

Polymorph energy (0 for the lowest one), meV/atom: 48

---

Entry 4:
Below is a relaxed MgNbNiPb crystal, with properties calculated at the PBE level.

```
data_MgNbNiPb
_cell_length_a 6.664
_cell_length_b 6.664
_cell_length_c 6.664
_cell_angle_alpha 90.00
_cell_angle_beta 90.00
_cell_angle_gamma 90.00
_symmetry_space_group_name_H-M 'F -4 3 m'
_symmetry_Int_Tables_number 216
_symmetry_space_group_name_Hall 'F -4 2 3'
loop_
_atom_site_label
_atom_site_fract_x
_atom_site_fract_y
_atom_site_fract_z
Mg1 0.000 0.000 0.000
Nb1 0.250 0.250 0.250
Ni1 0.250 0.250 0.750
Pb1 0.000 0.000 0.500
```

Polymorph energy (0 for the lowest one), meV/atom: 0

---

Number 1: volume 19.27 Å³ per atom, calculated density 5.0 g cm⁻³. Number 2: volume 18.32 Å³ per atom, calculated density 5.3 g cm⁻³. Number 3: volume 18.15 Å³ per atom, calculated density 8.8 g cm⁻³. Number 4: volume 18.50 Å³ per atom, calculated density 8.6 g cm⁻³.